Computed, not measured: an optimized crystal structure of NiGe3 at the PBE level of DFT.

Lattice parameters (Å, degrees): 4.757 4.757 4.757 127.81 127.81 76.94
Atoms (fractional coordinates):
Ni 0.000 0.000 0.000
Ge 0.750 0.250 0.500
Ge 0.250 0.750 0.500
Ge 0.500 0.500 0.000

Computed properties:
Magnetization: 0.00 μB/cell
Formation enthalpy at 0 K: 0.25 eV/atom
SG: I4/mmm (139)
Density: 7.040 g/cm3